A plane-wave DFT calculation with GGA-PBE was carried out for an optimized crystal structure of InHgSb2.

Cell lengths 4.4526, 4.4526, 8.4821 Å; angles 93.40, 93.40, 41.95 degrees
Fractional positions:
In: 0.0000 0.0000 0.0000
Hg: 0.7531 0.7531 0.2423
Sb: 0.2523 0.2523 0.7409
Sb: 0.5077 0.5077 0.4979

Summary:
E above lowest polymorph (meV/atom): 32
VASP energy (eV/atom): -2.746
Total magnetic moment (μB per atom): 0.00
Formation energy (no corrections) (eV per formula unit): 0.30
Fermi-level density of states (states/eV/f.u.): 1.629